Model P:
Compound: ScBiSCl2
Source: Alexandria via LeMat-Bulk
Functional: PBE
Structure: optimized geometry

- density (g/cm3) = 3.73
- volume (Å³/cell) = 158.89
- Fermi-level density of states (states/eV per cell) = 9.75

CIF file:
```
data_ScBiSCl2
_space_group_name_H-M_alt 'P 4/m m m'
_space_group_IT_number 123
_space_group_name_Hall '-P 4 2'
_cell_length_a 5.418
_cell_length_b 5.418
_cell_length_c 5.413
_cell_angle_alpha 90.00
_cell_angle_beta 90.00
_cell_angle_gamma 90.00
loop_
_atom_site_label
_atom_site_type_symbol
_atom_site_fract_x
_atom_site_fract_y
_atom_site_fract_z
Sc1 Sc 0.000 0.000 0.000
Bi1 Bi 0.500 0.500 0.500
S1 S 0.500 0.500 0.000
Cl1 Cl 0.000 0.500 0.500
```



Model Q:
Compound: ScBiSCl2
Source: Alexandria via LeMat-Bulk
Functional: PBE
Structure: optimized geometry

- density (g/cm3) = 4.74
- volume (Å³/cell) = 125.07
- Fermi-level density of states (states/eV per cell) = 3.85

CIF file:
```
data_ScBiSCl2
_space_group_name_H-M_alt 'P 4/m m m'
_space_group_IT_number 123
_space_group_name_Hall '-P 4 2'
_cell_length_a 4.946
_cell_length_b 4.946
_cell_length_c 5.113
_cell_angle_alpha 90.00
_cell_angle_beta 90.00
_cell_angle_gamma 90.00
loop_
_atom_site_label
_atom_site_type_symbol
_atom_site_fract_x
_atom_site_fract_y
_atom_site_fract_z
Sc1 Sc 0.000 0.000 0.000
Bi1 Bi 0.500 0.500 0.500
S1 S 0.000 0.000 0.500
Cl1 Cl 0.000 0.500 0.000
```



Which structure is the most stable? The one labeled model Q.



Model P:
Compound: BiSeSCl2
Source: Alexandria via LeMat-Bulk
Functional: PBE
Structure: optimized geometry

- density (g/cm3) = 4.08
- volume (Å³/cell) = 159.18
- Fermi-level density of states (states/eV per cell) = 1.70

CIF file:
```
data_BiSeSCl2
_space_group_name_H-M_alt 'P 4/m m m'
_space_group_IT_number 123
_space_group_name_Hall '-P 4 2'
_cell_length_a 5.428
_cell_length_b 5.428
_cell_length_c 5.404
_cell_angle_alpha 90.00
_cell_angle_beta 90.00
_cell_angle_gamma 90.00
loop_
_atom_site_label
_atom_site_type_symbol
_atom_site_fract_x
_atom_site_fract_y
_atom_site_fract_z
Bi1 Bi 0.000 0.000 0.000
Se1 Se 0.500 0.500 0.500
S1 S 0.000 0.000 0.500
Cl1 Cl 0.000 0.500 0.000
```



Model Q:
Compound: BiSeSCl2
Source: Alexandria via LeMat-Bulk
Functional: PBE
Structure: optimized geometry

- density (g/cm3) = 5.14
- volume (Å³/cell) = 126.41
- Fermi-level density of states (states/eV per cell) = 4.78

CIF file:
```
data_BiSeSCl2
_space_group_name_H-M_alt 'P 4/m m m'
_space_group_IT_number 123
_space_group_name_Hall '-P 4 2'
_cell_length_a 5.039
_cell_length_b 5.039
_cell_length_c 4.978
_cell_angle_alpha 90.00
_cell_angle_beta 90.00
_cell_angle_gamma 90.00
loop_
_atom_site_label
_atom_site_type_symbol
_atom_site_fract_x
_atom_site_fract_y
_atom_site_fract_z
Bi1 Bi 0.000 0.000 0.000
Se1 Se 0.500 0.500 0.500
S1 S 0.500 0.500 0.000
Cl1 Cl 0.000 0.500 0.500
```



Which structure is the most stable? The one labeled model P.



Model P:
Compound: BiSeS2Cl
Source: Alexandria via LeMat-Bulk
Functional: PBE
Structure: optimized geometry

- density (g/cm3) = 5.46
- volume (Å³/cell) = 117.88
- Fermi-level density of states (states/eV per cell) = 3.40

CIF file:
```
data_BiSeS2Cl
_space_group_name_H-M_alt 'P 4/m m m'
_space_group_IT_number 123
_space_group_name_Hall '-P 4 2'
_cell_length_a 4.935
_cell_length_b 4.935
_cell_length_c 4.840
_cell_angle_alpha 90.00
_cell_angle_beta 90.00
_cell_angle_gamma 90.00
loop_
_atom_site_label
_atom_site_type_symbol
_atom_site_fract_x
_atom_site_fract_y
_atom_site_fract_z
Bi1 Bi 0.000 0.000 0.000
Se1 Se 0.500 0.500 0.500
S1 S 0.000 0.500 0.500
Cl1 Cl 0.500 0.500 0.000
```



Model Q:
Compound: BiSeS2Cl
Source: Alexandria via LeMat-Bulk
Functional: PBE
Structure: optimized geometry

- density (g/cm3) = 4.23
- volume (Å³/cell) = 151.99
- Fermi-level density of states (states/eV per cell) = 4.42

CIF file:
```
data_BiSeS2Cl
_space_group_name_H-M_alt 'P 4/m m m'
_space_group_IT_number 123
_space_group_name_Hall '-P 4 2'
_cell_length_a 5.300
_cell_length_b 5.300
_cell_length_c 5.410
_cell_angle_alpha 90.00
_cell_angle_beta 90.00
_cell_angle_gamma 90.00
loop_
_atom_site_label
_atom_site_type_symbol
_atom_site_fract_x
_atom_site_fract_y
_atom_site_fract_z
Bi1 Bi 0.000 0.000 0.000
Se1 Se 0.500 0.500 0.500
S1 S 0.000 0.500 0.000
Cl1 Cl 0.000 0.000 0.500
```



Which structure is the most stable? The one labeled model P.